[1]
Tb4CeS7 | PBE | relaxed

a = 13.063 Å, b = 3.845 Å, c = 11.720 Å
α = 90.00°, β = 104.65°, γ = 90.00°
Space group Cm (No. 8)
Inequivalent atoms, fractional coordinates:
Tb 0.000 0.000 0.000 (multiplicity 2)
Tb 0.088 0.500 0.397 (multiplicity 2)
Tb 0.200 0.500 0.813 (multiplicity 2)
Tb 0.400 0.000 0.627 (multiplicity 2)
Ce 0.313 0.500 0.235 (multiplicity 2)
S 0.041 0.000 0.764 (multiplicity 2)
S 0.155 0.500 0.025 (multiplicity 2)
S 0.198 0.000 0.320 (multiplicity 2)
S 0.244 0.500 0.600 (multiplicity 2)
S 0.358 0.000 0.865 (multiplicity 2)
S 0.447 0.000 0.165 (multiplicity 2)
S 0.462 0.500 0.467 (multiplicity 2)

Computed properties:
- Electronic total energy: -6.49 eV/atom
- Total magnetization: 2.3 Bohr magnetons per cell
- Uncorrected formation energy: -2040.5 meV per atom

=====

[2]
NdDyGeSe | PBE | relaxed

a = 4.2009 Å, b = 4.2009 Å, c = 20.7331 Å
α = 90.00°, β = 90.00°, γ = 120.00°
Space group R3m (No. 160, hexagonal axes)
Inequivalent atoms, fractional coordinates:
Nd 0.0000 0.0000 0.0000 (multiplicity 3)
Dy 0.0000 0.0000 0.5073 (multiplicity 3)
Ge 0.0000 0.0000 0.2510 (multiplicity 3)
Se 0.0000 0.0000 0.7574 (multiplicity 3)

Computed properties:
- Electronic total energy: -5.75 eV/atom
- Total magnetization: 0.0 Bohr magnetons per cell
- Uncorrected formation energy: -1386.2 meV per atom

=====

[3]
Ac4TeAs3 | PBE | relaxed

a = 4.574 Å, b = 6.510 Å, c = 9.228 Å
α = 90.00°, β = 90.00°, γ = 90.00°
Space group Pmmm (No. 47)
Inequivalent atoms, fractional coordinates:
Ac 0.000 0.000 0.000 (multiplicity 1)
Ac 0.000 0.000 0.500 (multiplicity 1)
Ac 0.500 0.500 0.232 (multiplicity 2)
Te 0.000 0.500 0.500 (multiplicity 1)
As 0.000 0.500 0.000 (multiplicity 1)
As 0.500 0.000 0.252 (multiplicity 2)

Computed properties:
- Electronic total energy: -5.71 eV/atom
- Total magnetization: 0.0 Bohr magnetons per cell
- Uncorrected formation energy: -1519.5 meV per atom

=====

[4]
Pm3Ga7Rh2 | PBE | relaxed

a = 4.267 Å, b = 4.280 Å, c = 13.588 Å
α = 90.00°, β = 98.87°, γ = 90.00°
Space group P2/m (No. 10)
Inequivalent atoms, fractional coordinates:
Pm 0.000 0.000 0.000 (multiplicity 1)
Pm 0.318 0.500 0.639 (multiplicity 2)
Ga 0.083 0.500 0.166 (multiplicity 2)
Ga 0.223 0.000 0.447 (multiplicity 2)
Ga 0.419 0.000 0.835 (multiplicity 2)
Ga 0.500 0.500 0.000 (multiplicity 1)
Rh 0.128 0.000 0.261 (multiplicity 2)

Computed properties:
- Electronic total energy: -4.87 eV/atom
- Total magnetization: 0.0 Bohr magnetons per cell

=====

[5]
Sm6Sb2Pd | PBE | relaxed

a = 6.439 Å, b = 8.215 Å, c = 12.059 Å
α = 90.00°, β = 121.14°, γ = 90.00°
Space group P2_1/c (No. 14)
Inequivalent atoms, fractional coordinates:
Sm 0.077 0.190 0.453 (multiplicity 4)
Sm 0.321 0.671 0.455 (multiplicity 4)
Sm 0.372 0.028 0.241 (multiplicity 4)
Sb 0.152 0.117 0.747 (multiplicity 4)
Pd 0.500 0.000 0.500 (multiplicity 2)

Computed properties:
- Electronic total energy: -5.29 eV/atom
- Total magnetization: 0.0 Bohr magnetons per cell
- Uncorrected formation energy: -648.1 meV per atom

=====

[6]
Ho3InPd12 | PBE | relaxed

a = 4.103 Å, b = 4.103 Å, c = 16.319 Å
α = 90.00°, β = 90.00°, γ = 90.00°
Space group P4/mmm (No. 123)
Inequivalent atoms, fractional coordinates:
Ho 0.000 0.000 0.000 (multiplicity 1)
Ho 0.000 0.000 0.253 (multiplicity 2)
In 0.000 0.000 0.500 (multiplicity 1)
Pd 0.000 0.500 0.126 (multiplicity 4)
Pd 0.000 0.500 0.379 (multiplicity 4)
Pd 0.500 0.500 0.000 (multiplicity 1)
Pd 0.500 0.500 0.253 (multiplicity 2)
Pd 0.500 0.500 0.500 (multiplicity 1)

Computed properties:
- Electronic total energy: -5.70 eV/atom
- Total magnetization: 0.0 Bohr magnetons per cell

=====

[7]
Si2NiRu2 | PBE | relaxed

a = 6.761 Å, b = 6.761 Å, c = 2.854 Å
α = 90.00°, β = 90.00°, γ = 90.00°
Space group P4/mbm (No. 127)
Inequivalent atoms, fractional coordinates:
Si 0.146 0.354 0.000 (multiplicity 4)
Ni 0.000 0.000 0.000 (multiplicity 2)
Ru 0.153 0.653 0.500 (multiplicity 4)

Computed properties:
- Electronic total energy: -7.44 eV/atom
- Total magnetization: 0.0 Bohr magnetons per cell
- Uncorrected formation energy: -401.1 meV per atom

=====

[8]
TbCe2Si | PBE | relaxed

a = 3.868 Å, b = 3.868 Å, c = 7.092 Å
α = 90.00°, β = 90.00°, γ = 90.00°
Space group P4/mmm (No. 123)
Inequivalent atoms, fractional coordinates:
Tb 0.000 0.000 0.000 (multiplicity 1)
Ce 0.500 0.500 0.310 (multiplicity 2)
Si 0.000 0.000 0.500 (multiplicity 1)

Computed properties:
- Electronic total energy: -5.75 eV/atom
- Total magnetization: 0.0 Bohr magnetons per cell
- Uncorrected formation energy: -268.5 meV per atom
- Polymorph energy (0 for the lowest one): 126 meV/atom

=====

[9]
Cd2BiRh2 | PBE | relaxed

a = 7.013 Å, b = 7.013 Å, c = 4.054 Å
α = 90.00°, β = 90.00°, γ = 90.00°
Space group P4/mbm (No. 127)
Inequivalent atoms, fractional coordinates:
Cd 0.151 0.349 0.000 (multiplicity 4)
Bi 0.000 0.000 0.500 (multiplicity 2)
Rh 0.145 0.645 0.500 (multiplicity 4)

Computed properties:
- Electronic total energy: -4.12 eV/atom
- Total magnetization: 0.0 Bohr magnetons per cell
- Polymorph energy (0 for the lowest one): 0 meV/atom

=====

[10]
LiCe2PaP4 | PBE | relaxed

a = 6.884 Å, b = 4.070 Å, c = 6.951 Å
α = 90.00°, β = 109.55°, γ = 90.00°
Space group P2/m (No. 10)
Inequivalent atoms, fractional coordinates:
Li 0.000 0.000 0.000 (multiplicity 1)
Ce 0.000 0.500 0.500 (multiplicity 1)
Ce 0.500 0.000 0.500 (multiplicity 1)
Pa 0.500 0.500 0.000 (multiplicity 1)
P 0.256 0.000 0.761 (multiplicity 2)
P 0.260 0.500 0.246 (multiplicity 2)

Computed properties:
- Electronic total energy: -6.74 eV/atom
- Total magnetization: 1.1 Bohr magnetons per cell

=====

[11]
SmMg2Cd | PBE | relaxed

a = 5.184 Å, b = 5.184 Å, c = 7.269 Å
α = 90.00°, β = 90.00°, γ = 90.00°
Space group I-4m2 (No. 119)
Inequivalent atoms, fractional coordinates:
Sm 0.000 0.000 0.000 (multiplicity 2)
Mg 0.000 0.000 0.500 (multiplicity 2)
Mg 0.000 0.500 0.250 (multiplicity 2)
Cd 0.000 0.500 0.750 (multiplicity 2)

Computed properties:
- Electronic total energy: -2.43 eV/atom
- Total magnetization: 0.0 Bohr magnetons per cell
- Polymorph energy (0 for the lowest one): 0 meV/atom

=====

[12]
Pm3Y2Ho6Tm | PBE | relaxed

a = 6.175 Å, b = 10.685 Å, c = 11.786 Å
α = 90.00°, β = 100.01°, γ = 90.00°
Space group C2/m (No. 12)
Inequivalent atoms, fractional coordinates:
Pm 0.000 0.000 0.000 (multiplicity 2)
Pm 0.000 0.333 0.000 (multiplicity 4)
Y 0.000 0.167 0.500 (multiplicity 4)
Ho 0.248 0.334 0.747 (multiplicity 8)
Ho 0.250 0.000 0.747 (multiplicity 4)
Tm 0.000 0.500 0.500 (multiplicity 2)

Computed properties:
- Electronic total energy: -4.91 eV/atom
- Total magnetization: 0.0 Bohr magnetons per cell